# In2SnBi GGA-PBE optimized geometry
data_In2SnBi
_chemical_formula_sum 'In6 Sn3 Bi3'
_cell_length_a 3.3956
_cell_length_b 3.3956
_cell_length_c 35.4474
_cell_angle_alpha 90.00
_cell_angle_beta 90.00
_cell_angle_gamma 120.00
_space_group_name_H-M_alt 'R -3 m'
_space_group_IT_number 166
_space_group_name_Hall '-R 3 2"'
loop_
_atom_site_label
_atom_site_type_symbol
_atom_site_fract_x
_atom_site_fract_y
_atom_site_fract_z
In1 In 0.0000 0.0000 0.0863
Sn1 Sn 0.0000 0.0000 0.0000
Bi1 Bi 0.0000 0.0000 0.5000
# - ΔE_f: 0.074 eV/atom
# - E above lowest polymorph: 0.038 eV per atom
# - Fermi-level density of states: 1.6 states/eV/f.u.